# HoSc6Tl

A relaxed structure of HoSc6Tl (PBE, the Alexandria database).

Values from the calculation:
- E above lowest polymorph (meV/atom) = 0
- energy of formation (eV/atom) = -0.054
- E_tot (eV/cell) = -45.369
- size of the total moment (μB/f.u.) = 0.6
- ρ (g/cm3) = 5.4

```
data_HoSc6Tl
_chemical_formula_sum 'Ho1 Sc6 Tl1'
_cell_length_a 4.582
_cell_length_b 4.582
_cell_length_c 9.420
_cell_angle_alpha 90.00
_cell_angle_beta 90.00
_cell_angle_gamma 90.00
_space_group_name_H-M_alt 'P 4/m m m'
_space_group_IT_number 123
_space_group_name_Hall '-P 4 2'
loop_
_atom_site_label
_atom_site_fract_x
_atom_site_fract_y
_atom_site_fract_z
_atom_site_occupancy
Ho1 0.000 0.000 0.000 1
Sc1 0.000 0.500 0.257 1
Sc2 0.500 0.500 0.000 1
Sc3 0.500 0.500 0.500 1
Tl1 0.000 0.000 0.500 1
```

***

# Ba2ScC

A relaxed structure of Ba2ScC (PBE, the Alexandria database).

Values from the calculation:
- energy of formation (eV/atom) = 0.423
- E_tot (eV/cell) = -70.844
- size of the total moment (μB/f.u.) = 0.0
- ρ (g/cm3) = 3.8

```
data_Ba2ScC
_chemical_formula_sum 'Ba8 Sc4 C4'
_cell_length_a 11.550
_cell_length_b 11.550
_cell_length_c 4.399
_cell_angle_alpha 90.00
_cell_angle_beta 90.00
_cell_angle_gamma 90.00
_space_group_name_H-M_alt 'I -4 2 d'
_space_group_IT_number 122
_space_group_name_Hall 'I -4 2bw'
loop_
_atom_site_label
_atom_site_fract_x
_atom_site_fract_y
_atom_site_fract_z
_atom_site_occupancy
Ba1 0.075 0.250 0.125 1
Sc1 0.000 0.000 0.500 1
C1 0.000 0.000 0.000 1
```